First-principles (PBE-GGA) data for crystalline AcLa3Pr3 at its relaxed geometry, as listed in the Alexandria database.

Structure (POSCAR):
```
AcLa3Pr3
1.0
-5.899 -0.506 1.443
2.504 -4.550 8.640
-0.941 10.032 -0.326
La Pr Ac
6 6 2
direct
0.750 0.192 0.235
0.750 0.043 0.808
0.250 0.235 0.043
0.250 0.957 0.192
0.250 0.808 0.765
0.750 0.765 0.957
0.250 0.380 0.473
0.750 0.907 0.380
0.750 0.473 0.093
0.250 0.527 0.907
0.250 0.093 0.620
0.750 0.620 0.527
0.750 0.333 0.667
0.250 0.667 0.333
```

Summary:
* ρ: 6603 kg/m³
* excess energy over the best structure of this formula in the dataset: 0.00 kcal/mol of atoms
* symmetry: P6_3/m, No. 176

First-principles (PBE-GGA) data for crystalline AcNpSbO5 at its relaxed geometry, as listed in the Alexandria database.

Structure (POSCAR):
```
AcNpSbO5
1.0
6.900 0.323 -0.526
-1.706 6.694 -0.526
-2.899 -3.915 6.583
O Np Ac Sb
10 2 2 2
direct
0.710 0.602 0.240
0.044 0.956 0.750
0.706 0.065 0.473
0.398 0.290 0.260
0.065 0.706 0.973
0.935 0.294 0.027
0.290 0.398 0.760
0.602 0.710 0.740
0.956 0.044 0.250
0.294 0.935 0.527
0.000 0.000 0.500
0.000 0.000 0.000
0.650 0.350 0.750
0.350 0.650 0.250
0.693 0.307 0.250
0.307 0.693 0.750
```

Summary:
* ρ: 7889 kg/m³
* raw formation energy: -2.560 eV per atom
* symmetry: C2/c, No. 15

First-principles (PBE-GGA) data for crystalline BaScZnSe2 at its relaxed geometry, as listed in the Alexandria database.

Structure (POSCAR):
```
BaScZnSe2
1.0
-1.995 4.690 1.693
-1.563 -2.153 4.121
4.683 1.137 2.370
Sc Se Zn Ba
1 2 1 1
direct
0.000 0.500 0.000
0.500 0.000 0.000
0.000 0.000 0.500
0.000 0.000 0.000
0.500 0.500 0.500
```

Summary:
* ρ: 4761 kg/m³
* raw formation energy: -0.401 eV per atom
* symmetry: P4/mmm, No. 123

First-principles (PBE-GGA) data for crystalline BeSiOs2 at its relaxed geometry, as listed in the Alexandria database.

Structure (POSCAR):
```
BeSiOs2
1.0
2.897 0.000 0.000
0.000 2.897 0.000
0.000 0.000 5.717
Os Be Si
2 1 1
direct
0.000 0.000 0.994
0.000 0.000 0.506
0.500 0.500 0.750
0.500 0.500 0.250
```

Summary:
* ρ: 14452 kg/m³
* raw formation energy: -0.225 eV per atom
* symmetry: P4/mmm, No. 123

First-principles (PBE-GGA) data for crystalline GaSi2ICl at its relaxed geometry, as listed in the Alexandria database.

Structure (POSCAR):
```
GaSi2ICl
1.0
-4.365 1.928 0.400
-1.907 -5.224 4.371
1.487 2.589 3.743
I Si Ga Cl
1 2 1 1
direct
0.000 0.500 0.000
0.000 0.000 0.500
0.500 0.000 0.000
0.500 0.500 0.500
0.000 0.000 0.000
```

Summary:
* ρ: 2952 kg/m³
* raw formation energy: 0.798 eV per atom
* symmetry: P4/mmm, No. 123

First-principles (PBE-GGA) data for crystalline Ba2LiMgH at its relaxed geometry, as listed in the Alexandria database.

Structure (POSCAR):
```
Ba2LiMgH
1.0
5.928 0.000 0.000
0.000 5.928 0.000
0.000 0.000 4.471
Ba Mg H Li
2 1 1 1
direct
0.500 0.000 0.000
0.000 0.500 0.000
0.500 0.500 0.500
0.000 0.000 0.000
0.000 0.000 0.500
```

Summary:
* ρ: 3244 kg/m³
* excess energy over the best structure of this formula in the dataset: 0.00 kcal/mol of atoms
* symmetry: P4/mmm, No. 123

First-principles (PBE-GGA) data for crystalline FeTeAu4 at its relaxed geometry, as listed in the Alexandria database.

Structure (POSCAR):
```
FeTeAu4
1.0
0.000 3.934 3.934
3.934 0.000 3.934
3.934 3.934 0.000
Fe Au Te
1 4 1
direct
0.750 0.750 0.750
0.874 0.375 0.375
0.375 0.375 0.375
0.375 0.375 0.874
0.375 0.874 0.375
0.000 0.000 0.000
```

Summary:
* ρ: 13247 kg/m³
* raw formation energy: 0.365 eV per atom
* symmetry: F-43m, No. 216

First-principles (PBE-GGA) data for crystalline Gd2PuV at its relaxed geometry, as listed in the Alexandria database.

Structure (POSCAR):
```
Gd2PuV
1.0
-2.566 -0.317 -2.089
-3.021 -0.735 1.177
-4.114 10.666 0.792
Pu V Gd
1 1 2
direct
0.500 0.500 0.500
0.000 0.000 0.000
0.919 0.919 0.244
0.081 0.081 0.756
```

Summary:
* ρ: 9361 kg/m³
* DFT total energy: -12.237 eV/atom
* symmetry: R-3m, No. 166

Please write out number 1 again, unchanged.
First-principles (PBE-GGA) data for crystalline AcLa3Pr3 at its relaxed geometry, as listed in the Alexandria database.

Structure (POSCAR):
```
AcLa3Pr3
1.0
-5.899 -0.506 1.443
2.504 -4.550 8.640
-0.941 10.032 -0.326
La Pr Ac
6 6 2
direct
0.750 0.192 0.235
0.750 0.043 0.808
0.250 0.235 0.043
0.250 0.957 0.192
0.250 0.808 0.765
0.750 0.765 0.957
0.250 0.380 0.473
0.750 0.907 0.380
0.750 0.473 0.093
0.250 0.527 0.907
0.250 0.093 0.620
0.750 0.620 0.527
0.750 0.333 0.667
0.250 0.667 0.333
```

Summary:
* ρ: 6603 kg/m³
* excess energy over the best structure of this formula in the dataset: 0.00 kcal/mol of atoms
* symmetry: P6_3/m, No. 176

Repeat the fifth record exactly.
First-principles (PBE-GGA) data for crystalline GaSi2ICl at its relaxed geometry, as listed in the Alexandria database.

Structure (POSCAR):
```
GaSi2ICl
1.0
-4.365 1.928 0.400
-1.907 -5.224 4.371
1.487 2.589 3.743
I Si Ga Cl
1 2 1 1
direct
0.000 0.500 0.000
0.000 0.000 0.500
0.500 0.000 0.000
0.500 0.500 0.500
0.000 0.000 0.000
```

Summary:
* ρ: 2952 kg/m³
* raw formation energy: 0.798 eV per atom
* symmetry: P4/mmm, No. 123

> Which formula does entry 2 have?

AcNpSbO5